No. 1
Below is crystalline TbDyHo14 at its relaxed geometry, with properties calculated at the PBE-GGA level.

a b c (Å): 7.072 7.072 11.364
angles (deg): 90.00 90.00 119.99
Atoms (fractional coordinates):
Ho1 0.542 0.458 0.000
Ho2 0.042 0.458 0.000
Ho3 0.042 0.958 0.000
Ho4 0.875 0.625 0.249
Ho5 0.875 0.125 0.750
Ho6 0.875 0.625 0.751
Ho7 0.375 0.125 0.249
Ho8 0.208 0.292 0.500
Ho9 0.542 0.958 0.000
Ho10 0.375 0.625 0.750
Ho11 0.708 0.792 0.500
Ho12 0.375 0.625 0.250
Ho13 0.875 0.125 0.250
Ho14 0.375 0.125 0.751
Dy1 0.708 0.292 0.500
Tb1 0.208 0.792 0.500

Values from the calculation:
**Density**: 8.87 g cm⁻³
**Calculated total energy**: -0.168 Ha/atom
**M_tot**: 0.00 μB per atom

=====

No. 2
Below is crystalline Ta2Be2Co5Sn at its relaxed geometry, with properties calculated at the PBE-GGA level.

a b c (Å): 3.265 8.600 8.600
angles (deg): 90.00 90.00 90.00
Atoms (fractional coordinates):
Co1 0.500 0.431 0.278
Co2 0.500 0.278 0.569
Co3 0.500 0.778 0.931
Co4 0.500 0.500 0.000
Co5 0.500 0.722 0.431
Co6 0.500 0.069 0.778
Co7 0.500 0.931 0.222
Co8 0.500 0.000 0.500
Co9 0.500 0.569 0.722
Co10 0.500 0.222 0.069
Ta1 0.000 0.177 0.323
Ta2 0.000 0.677 0.177
Ta3 0.000 0.323 0.823
Ta4 0.000 0.823 0.677
Be1 0.000 0.884 0.384
Be2 0.000 0.384 0.116
Be3 0.000 0.116 0.616
Be4 0.000 0.616 0.884
Sn1 0.000 0.000 0.000
Sn2 0.000 0.500 0.500

Values from the calculation:
**Density**: 10.91 g cm⁻³
**Calculated total energy**: -0.269 Ha/atom
**M_tot**: 0.00 μB per atom

=====

No. 3
Below is crystalline YReBiMo2 at its relaxed geometry, with properties calculated at the PBE-GGA level.

a b c (Å): 4.828 5.298 4.828
angles (deg): 90.00 90.00 90.00
Atoms (fractional coordinates):
Bi1 0.000 0.500 0.000
Mo1 0.500 0.000 0.000
Mo2 0.000 0.000 0.500
Re1 0.000 0.000 0.000
Y1 0.500 0.500 0.500

Values from the calculation:
**Density**: 9.09 g cm⁻³
**Calculated total energy**: -0.285 Ha/atom
**M_tot**: 0.00 μB per atom

=====

No. 4
Below is crystalline CuO2F2 at its relaxed geometry, with properties calculated at the PBE-GGA level.

a b c (Å): 3.851 3.851 3.817
angles (deg): 90.00 90.00 90.00
Atoms (fractional coordinates):
O1 0.000 0.000 0.500
O2 0.500 0.500 0.500
F1 0.000 0.500 0.000
F2 0.500 0.000 0.000
Cu1 0.000 0.000 0.000

Values from the calculation:
**Density**: 3.92 g cm⁻³
**Calculated total energy**: -0.130 Ha/atom
**M_tot**: 0.72 μB per atom

=====

No. 5
Below is crystalline MnFeHg2 at its relaxed geometry, with properties calculated at the PBE-GGA level.

a b c (Å): 4.619 4.619 4.619
angles (deg): 60.00 60.00 60.00
Atoms (fractional coordinates):
Hg1 0.250 0.250 0.250
Hg2 0.000 0.000 0.000
Mn1 0.750 0.750 0.750
Fe1 0.500 0.500 0.500

Values from the calculation:
**Density**: 12.20 g cm⁻³
**M_tot**: 1.55 μB per atom
**Excess energy over the best structure of this formula in the dataset**: 186 meV per atom

=====

No. 6
Below is crystalline Nd8SbTe4P3 at its relaxed geometry, with properties calculated at the PBE-GGA level.

a b c (Å): 8.664 8.882 8.664
angles (deg): 119.19 120.00 90.00
Atoms (fractional coordinates):
Nd1 0.275 0.280 0.027
Nd2 0.262 0.287 0.525
Nd3 0.738 0.713 0.475
Nd4 0.725 0.720 0.973
Nd5 0.752 0.280 0.505
Nd6 0.248 0.720 0.495
Nd7 0.248 0.720 0.973
Nd8 0.752 0.280 0.027
Te1 0.500 0.000 0.000
Te2 0.000 0.000 0.000
Te3 0.000 0.000 0.500
Te4 0.500 0.000 0.500
P1 0.500 0.500 0.000
P2 0.000 0.500 0.500
P3 0.500 0.500 0.500
Sb1 0.000 0.500 0.000

Values from the calculation:
**Density**: 6.54 g cm⁻³
**Calculated total energy**: -0.218 Ha/atom
**M_tot**: 0.00 μB per atom

=====

No. 7
Below is crystalline ZrZnIr at its relaxed geometry, with properties calculated at the PBE-GGA level.

a b c (Å): 4.422 4.422 3.025
angles (deg): 90.00 90.00 120.00
Atoms (fractional coordinates):
Ir1 0.000 0.000 0.137
Zn1 0.667 0.333 0.178
Zr1 0.333 0.667 0.685

Values from the calculation:
**Density**: 11.31 g cm⁻³
**Calculated total energy**: -0.248 Ha/atom
**M_tot**: 0.00 μB per atom

=====

No. 8
Below is crystalline Ho3Tm2Cd4 at its relaxed geometry, with properties calculated at the PBE-GGA level.

a b c (Å): 6.630 7.966 9.939
angles (deg): 90.00 109.48 90.00
Atoms (fractional coordinates):
Cd1 0.827 0.250 0.153
Cd2 0.173 0.750 0.847
Cd3 0.841 0.020 0.682
Cd4 0.659 0.520 0.318
Cd5 0.159 0.980 0.318
Cd6 0.327 0.250 0.153
Cd7 0.341 0.480 0.682
Cd8 0.673 0.750 0.847
Ho1 0.000 0.000 0.000
Ho2 0.004 0.750 0.509
Ho3 0.504 0.750 0.509
Ho4 0.496 0.250 0.491
Ho5 0.996 0.250 0.491
Ho6 0.500 0.500 0.000
Tm1 0.409 0.102 0.818
Tm2 0.591 0.898 0.182
Tm3 0.909 0.398 0.818
Tm4 0.091 0.602 0.182

Values from the calculation:
**Density**: 8.61 g cm⁻³
**Calculated total energy**: -0.112 Ha/atom
**M_tot**: 0.00 μB per atom

=====

No. 9
Below is crystalline GaCu2Hg at its relaxed geometry, with properties calculated at the PBE-GGA level.

a b c (Å): 3.194 3.194 6.116
angles (deg): 90.00 90.00 90.00
Atoms (fractional coordinates):
Cu1 0.000 0.000 0.216
Cu2 0.000 0.000 0.784
Hg1 0.500 0.500 0.500
Ga1 0.500 0.500 0.000

Values from the calculation:
**Density**: 10.58 g cm⁻³
**M_tot**: 0.00 μB per atom
**Excess energy over the best structure of this formula in the dataset**: 0 meV per atom

=====

No. 10
Below is crystalline Zn3CdGa3 at its relaxed geometry, with properties calculated at the PBE-GGA level.

a b c (Å): 7.128 7.128 7.128
angles (deg): 90.00 90.00 90.00
Atoms (fractional coordinates):
Ga1 0.000 0.500 0.250
Ga2 0.500 0.750 0.000
Ga3 0.750 0.000 0.500
Ga4 0.250 0.000 0.500
Ga5 0.500 0.250 0.000
Ga6 0.000 0.500 0.750
Zn1 0.500 0.000 0.250
Zn2 0.000 0.250 0.500
Zn3 0.500 0.000 0.750
Zn4 0.750 0.500 0.000
Zn5 0.250 0.500 0.000
Zn6 0.000 0.750 0.500
Cd1 0.000 0.000 0.000
Cd2 0.500 0.500 0.500

Values from the calculation:
**Density**: 4.75 g cm⁻³
**M_tot**: 0.00 μB per atom
**Excess energy over the best structure of this formula in the dataset**: 335 meV per atom

=====

No. 11
Below is crystalline ZrSi2Br at its relaxed geometry, with properties calculated at the PBE-GGA level.

a b c (Å): 3.585 3.705 7.378
angles (deg): 89.60 90.00 90.00
Atoms (fractional coordinates):
Br1 0.500 0.622 0.707
Si1 0.500 0.126 0.286
Si2 0.000 0.128 0.085
Zr1 0.000 0.624 0.422

Values from the calculation:
**Density**: 3.85 g cm⁻³
**M_tot**: 0.00 μB per atom
**Excess energy over the best structure of this formula in the dataset**: 111 meV per atom

=====

No. 12
Below is crystalline LaBeCdH6 at its relaxed geometry, with properties calculated at the PBE-GGA level.

a b c (Å): 5.190 4.360 5.286
angles (deg): 89.62 74.23 63.95
Atoms (fractional coordinates):
H1 0.433 0.029 0.652
H2 0.102 0.534 0.679
H3 0.546 0.510 0.907
H4 0.559 0.366 0.344
H5 0.345 0.072 0.220
H6 0.921 0.614 0.185
Cd1 0.741 0.559 0.559
Be1 0.335 0.248 0.453
La1 0.017 0.069 0.001

Values from the calculation:
**Density**: 4.31 g cm⁻³
**Calculated total energy**: -0.124 Ha/atom
**M_tot**: 0.00 μB per atom